Entry 1:
Entry from the Alexandria database: LiGeN after structural relaxation (PBE-GGA).

- Space group: I4mm, No. 107
- Electronic total energy: -4.635 eV per atom
- Theoretical density: 2.823 g cm⁻³
- Volume: 55.0 Å³/f.u.
- Polymorph energy (0 for the lowest one): 0.620 eV per atom

Lattice parameters (Å, degrees): 4.294 4.294 4.294 121.09 121.09 88.13
Positions (direct):
Li (0.000, 0.000, 0.000)
Ge (0.410, 0.410, 0.000)
N (0.685, 0.685, 0.000)


Entry 2:
Entry from the Alexandria database: Mn2CuSb2Pd after structural relaxation (PBE-GGA).

- Space group: R3m, No. 160
- Electronic total energy: -6.067 eV per atom
- Theoretical density: 7.375 g cm⁻³
- Volume: 117.8 Å³/f.u.

Lattice parameters (Å, degrees): 7.567 7.567 7.567 33.54 33.54 33.54
Positions (direct):
Mn (0.000, 0.000, 0.000)
Mn (0.499, 0.499, 0.499)
Cu (0.375, 0.375, 0.375)
Sb (0.252, 0.252, 0.252)
Sb (0.748, 0.748, 0.748)
Pd (0.875, 0.875, 0.875)


- What is the volume in the first record?
  55.0 Å³/f.u.


- Which value of theoretical density does entry 1 give?
  2.823 g cm⁻³